[1]
DFT (PBE) results for crystalline Cd2SbRu at its relaxed geometry.

Properties
Total DFT energy (no corrections) ... -3.76 eV per atom

abc: 3.173 3.173 8.598
angles: 90.00 90.00 90.00
Fractional positions:
Cd 0.000 0.000 0.000
Cd 0.500 0.500 0.270
Sb 0.500 0.500 0.660
Ru 0.000 0.000 0.485

[2]
DFT (PBE) results for crystalline Cd2SbRu at its relaxed geometry.

Properties
Total DFT energy (no corrections) ... -3.57 eV per atom

abc: 4.053 4.053 9.454
angles: 90.00 90.00 90.00
Fractional positions:
Cd 0.000 0.500 0.250
Cd 0.000 0.500 0.750
Cd 0.500 0.000 0.250
Cd 0.500 0.000 0.750
Sb 0.000 0.000 0.000
Sb 0.500 0.500 0.500
Ru 0.000 0.000 0.500
Ru 0.500 0.500 0.000

[3]
DFT (PBE) results for crystalline CdSb2Ru at its relaxed geometry.

Properties
Total DFT energy (no corrections) ... -4.21 eV per atom

abc: 4.725 4.725 3.784
angles: 90.00 90.00 90.00
Fractional positions:
Cd 0.000 0.000 0.000
Sb 0.000 0.500 0.500
Sb 0.500 0.000 0.500
Ru 0.500 0.500 0.000

[4]
DFT (PBE) results for crystalline CdSb2Ru at its relaxed geometry.

Properties
Total DFT energy (no corrections) ... -4.24 eV per atom

abc: 6.099 7.890 3.507
angles: 90.00 90.35 90.00
Fractional positions:
Cd 0.000 0.000 0.000
Cd 0.500 0.500 0.000
Sb 0.250 0.250 0.500
Sb 0.250 0.750 0.500
Sb 0.750 0.250 0.500
Sb 0.750 0.750 0.500
Ru 0.000 0.500 0.000
Ru 0.500 0.000 0.000

Fermi-level density of states
In order: 0.507, 0.501, 0.992, 0.909
Unit: states/eV per atom